Run 1
A plane-wave DFT calculation with PBE was carried out for a relaxed AgHg3I crystal.

abc: 5.4894 5.4894 5.4894
angles: 90.00 90.00 90.00
Atoms (fractional coordinates):
Ag: 0.0000 0.0000 0.0000
I: 0.5000 0.5000 0.5000
Hg: 0.0000 0.0000 0.5000
Hg: 0.0000 0.5000 0.0000
Hg: 0.5000 0.0000 0.0000

## Properties
**Crystal system**: cubic
**SG**: Pm-3m, No. 221

Run 2
A plane-wave DFT calculation with PBE was carried out for a relaxed AgHg3I crystal.

abc: 8.1911 7.7832 8.9857
angles: 51.45 90.00 121.75
Atoms (fractional coordinates):
Hg: 0.6872 0.8545 0.2780
I: 0.2108 0.4847 0.2124
I: 0.7261 0.5153 0.7876
Hg: 0.6544 0.3715 0.3251
Hg: 0.2829 0.6285 0.6749
Ag: 0.9692 0.5004 0.9993
Hg: 0.1034 0.8554 0.2766
Hg: 0.2480 0.1446 0.7234
Ag: 0.4688 0.4996 0.0007
Hg: 0.8327 0.1455 0.7220

## Properties
**Crystal system**: monoclinic
**SG**: C2, No. 5

Top of the stability list: run 2, leading by 81 meV/atom.

Run 1
A plane-wave DFT calculation with PBE was carried out for a relaxed AgHgI2N crystal.

abc: 6.1648 6.1648 4.1660
angles: 90.00 90.00 90.00
Last column: magnetic moment on the atom in μB.
Atoms (fractional coordinates):
I: 0.5000 0.0000 0.0000  0.09
Ag: 0.5000 0.5000 0.5000  0.00
Hg: 0.0000 0.0000 0.0000  0.08
N: 0.0000 0.0000 0.5000  1.11
I: 0.0000 0.5000 0.0000  0.09

## Properties
**Crystal system**: tetragonal
**SG**: P4/mmm, No. 123

Run 2
A plane-wave DFT calculation with PBE was carried out for a relaxed AgHgI2N crystal.

abc: 5.9266 5.9266 4.1478
angles: 90.00 90.00 90.00
Last column: magnetic moment on the atom in μB.
Atoms (fractional coordinates):
N: 0.0000 0.0000 0.5000  1.21
I: 0.5000 0.0000 0.0000  0.07
Ag: 0.0000 0.0000 0.0000  0.16
Hg: 0.5000 0.5000 0.5000  0.00
I: 0.0000 0.5000 0.0000  0.07

## Properties
**Crystal system**: tetragonal
**SG**: P4/mmm, No. 123

Top of the stability list: run 2, leading by 87 meV/atom.

Run 1
A plane-wave DFT calculation with PBE was carried out for a relaxed Rb2AgHgI6 crystal.

abc: 8.4214 8.4214 8.5026
angles: 60.32 60.32 90.00
Atoms (fractional coordinates):
Rb: 0.7500 0.2500 0.5000
I: 0.7270 0.7270 0.5459
I: 0.2443 0.2443 0.0000
I: 0.2730 0.2730 0.4541
I: 0.7557 0.2443 0.0000
Hg: 0.0000 0.0000 0.0000
I: 0.2443 0.7557 0.0000
Rb: 0.2500 0.7500 0.5000
Ag: 0.5000 0.5000 0.0000
I: 0.7557 0.7557 0.0000

## Properties
**Crystal system**: tetragonal
**SG**: I4/mmm, No. 139

Run 2
A plane-wave DFT calculation with PBE was carried out for a relaxed Rb2AgHgI6 crystal.

abc: 9.6680 9.6052 9.6338
angles: 47.40 48.97 47.42
Atoms (fractional coordinates):
I: 0.1190 0.0486 0.3459
I: 0.6120 0.0507 0.8514
I: 0.5133 0.5836 0.7573
Rb: 0.0284 0.0897 0.7668
Ag: 0.3160 0.3162 0.0514
I: 0.5911 0.1569 0.3227
I: 0.0202 0.5816 0.2516
Rb: 0.6039 0.5427 0.3363
I: 0.0414 0.4754 0.7804
Hg: 0.8162 0.8162 0.5515

## Properties
**Crystal system**: triclinic
**SG**: P-1, No. 2

Top of the stability list: run 2, leading by 34 meV/atom.